# 1
DFT (PBE) results for a geometry-optimized Sc4Mo2Pb3N3 structure.

Geometry as extended XYZ:
```
24
Lattice="4.992 -2.895 0.000 4.992 2.895 0.000 -3.169 0.000 13.949" Properties=species:S:1:pos:R:3 pbc="T T T"
Sc 0.834 0.537 1.113
Sc 0.947 0.450 5.864
Sc -0.750 -0.537 8.087
Sc -0.637 -0.450 12.838
Sc 7.452 0.450 1.111
Sc 7.565 0.537 5.862
Sc 5.868 -0.450 8.085
Sc 5.981 -0.537 12.836
Mo 4.244 0.433 0.971
Mo 4.155 0.433 6.004
Mo 2.660 -0.433 7.945
Mo 2.570 -0.433 12.978
Pb 4.199 2.336 3.487
Pb 1.015 0.439 10.431
Pb 2.599 -0.439 3.457
Pb 4.215 0.439 10.492
Pb 5.800 -0.439 3.517
Pb 2.615 -2.336 10.462
N 2.496 1.447 0.000
N 2.532 1.521 6.971
N 5.867 1.521 0.003
N 0.912 -1.447 6.974
N 0.948 -1.521 13.946
N 4.283 -1.521 6.978
```

Calculated density in kg/m3: 8529
E in eV for the cell shown: -184.470
SG: C2/c, No. 15

# 2
DFT (PBE) results for a geometry-optimized LiTh structure.

Geometry as extended XYZ:
```
2
Lattice="0.000 3.157 3.157 3.157 0.000 3.157 3.157 3.157 0.000" Properties=species:S:1:pos:R:3 pbc="T T T"
Li 0.000 0.000 0.000
Th 4.735 4.735 4.735
```

Calculated density in kg/m3: 6307
SG: F-43m, No. 216
Energy above the most stable polymorph in this dataset in eV per atom: 1.423

# 3
DFT (PBE) results for a geometry-optimized TmIrPb2O6 structure.

Geometry as extended XYZ:
```
10
Lattice="5.090 0.000 0.000 1.413 4.897 0.000 0.148 0.056 5.759" Properties=species:S:1:pos:R:3 pbc="T T T"
Tm 0.000 0.000 0.000
Ir 3.251 2.449 0.000
Pb 2.076 1.532 2.979
Pb 4.574 3.421 2.781
O 1.884 1.357 5.750
O 2.459 3.530 1.521
O 2.574 3.566 4.242
O 4.076 1.387 1.518
O 4.192 1.423 4.238
O 4.766 3.597 0.009
```

Calculated density in kg/m3: 10081
SG: P-1, No. 2
Energy above the most stable polymorph in this dataset in eV per atom: 0.115

# 4
DFT (PBE) results for a geometry-optimized ThScFe structure.

Geometry as extended XYZ:
```
3
Lattice="0.000 3.235 3.235 3.235 0.000 3.235 3.235 3.235 0.000" Properties=species:S:1:pos:R:3 pbc="T T T"
Th 0.000 0.000 0.000
Sc 1.617 1.617 1.617
Fe 4.852 4.852 4.852
```

Calculated density in kg/m3: 8164
Calculated formation energy in eV per formula unit: 2.84
SG: F-43m, No. 216
Energy above the most stable polymorph in this dataset in eV per atom: 0.901

# 5
DFT (PBE) results for a geometry-optimized Ta2Mo4As3C3 structure.

Geometry as extended XYZ:
```
24
Lattice="4.866 -2.812 0.000 4.866 2.812 0.000 -3.293 0.000 12.117" Properties=species:S:1:pos:R:3 pbc="T T T"
Ta 2.366 2.328 7.229
Ta 2.427 2.328 10.947
Ta 4.012 -2.328 1.170
Ta 4.073 -2.328 4.888
Mo 2.479 0.501 1.079
Mo 2.394 0.416 4.991
Mo 0.832 -0.501 7.137
Mo 0.747 -0.416 11.050
Mo 5.691 0.416 1.068
Mo 5.607 0.501 4.980
Mo 4.045 -0.416 7.126
Mo 3.960 -0.501 11.039
As -0.769 0.519 9.089
As 0.878 -0.519 3.030
As 2.396 0.374 9.088
As 4.043 -0.374 3.029
As 5.561 0.519 9.087
As 7.208 -0.519 3.028
C 0.786 1.406 6.059
C 4.088 1.456 0.000
C 3.997 1.456 6.059
C 2.433 -1.406 0.000
C 2.442 -1.456 6.059
C 5.643 -1.456 0.000
```

Calculated density in kg/m3: 10081
E in eV for the cell shown: -223.288
SG: C2/c, No. 15

# 6
DFT (PBE) results for a geometry-optimized TaZnCuBi structure.

Geometry as extended XYZ:
```
4
Lattice="0.000 3.350 3.350 3.350 0.000 3.350 3.350 3.350 0.000" Properties=species:S:1:pos:R:3 pbc="T T T"
Ta 0.000 0.000 0.000
Zn 5.025 5.025 5.025
Cu 3.350 3.350 3.350
Bi 1.675 1.675 1.675
```

Calculated density in kg/m3: 11462
SG: F-43m, No. 216
Energy above the most stable polymorph in this dataset in eV per atom: 0.000

# 7
DFT (PBE) results for a geometry-optimized PrCdGa4 structure.

Geometry as extended XYZ:
```
6
Lattice="4.594 0.000 0.000 -2.297 3.978 0.000 0.000 0.000 6.791" Properties=species:S:1:pos:R:3 pbc="T T T"
Pr 0.000 0.000 0.000
Cd 0.000 0.000 3.395
Ga 0.000 2.652 1.965
Ga 0.000 2.652 4.826
Ga 2.297 1.326 1.853
Ga 2.297 1.326 4.937
```

Calculated density in kg/m3: 7122
E in eV for the cell shown: -19.857
SG: P-6m2, No. 187

# 8
DFT (PBE) results for a geometry-optimized Gd4GaCo4 structure.

Geometry as extended XYZ:
```
9
Lattice="5.101 -2.038 0.000 5.101 2.038 0.000 -3.112 0.000 8.364" Properties=species:S:1:pos:R:3 pbc="T T T"
Gd -0.082 0.000 3.217
Gd -0.105 0.000 7.018
Gd 7.195 0.000 1.345
Gd 7.171 0.000 5.147
Ga 0.000 0.000 0.000
Co 2.996 0.000 3.176
Co 4.268 0.000 1.218
Co 2.821 0.000 7.145
Co 4.093 0.000 5.188
```

Calculated density in kg/m3: 8923
E in eV for the cell shown: -52.675
SG: C2/m, No. 12

# 9
DFT (PBE) results for a geometry-optimized YOsPb2O6 structure.

Geometry as extended XYZ:
```
10
Lattice="-2.900 2.900 4.183 2.900 -2.900 4.183 2.900 2.900 -4.183" Properties=species:S:1:pos:R:3 pbc="T T T"
Y 0.000 0.000 0.000
Os 0.000 0.000 4.183
Pb 2.900 0.000 2.091
Pb 0.000 2.900 2.091
O 1.879 1.218 0.000
O 0.000 0.000 2.219
O 1.682 -1.021 4.183
O 1.218 3.922 0.000
O 0.000 0.000 6.147
O 1.021 1.682 4.183
```

Calculated density in kg/m3: 9317
SG: I4/m, No. 87
Energy above the most stable polymorph in this dataset in eV per atom: 0.000

# 10
DFT (PBE) results for a geometry-optimized HoScZnNi2 structure.

Geometry as extended XYZ:
```
5
Lattice="-2.090 2.633 3.877 2.090 -2.633 3.877 2.090 2.633 -3.877" Properties=species:S:1:pos:R:3 pbc="T T T"
Ho 0.000 0.000 0.000
Sc 0.000 0.000 3.164
Zn 0.000 2.633 1.572
Ni 2.090 1.206 1.571
Ni 0.000 1.427 5.448
```

Calculated density in kg/m3: 7638
Calculated formation energy in eV per formula unit: -2.44
SG: Imm2, No. 44

# 11
DFT (PBE) results for a geometry-optimized CuPd2 structure.

Geometry as extended XYZ:
```
6
Lattice="4.357 0.000 0.000 -2.178 3.773 0.000 0.000 0.000 5.256" Properties=species:S:1:pos:R:3 pbc="T T T"
Cu 0.000 2.515 1.314
Cu 2.178 1.258 3.942
Pd 0.000 0.000 0.000
Pd 0.000 0.000 2.628
Pd 0.000 2.515 3.942
Pd 2.178 1.258 1.314
```

Calculated density in kg/m3: 10625
Calculated formation energy in eV per formula unit: -0.08
SG: P6_3/mmc, No. 194
Energy above the most stable polymorph in this dataset in eV per atom: 0.000

# 12
DFT (PBE) results for a geometry-optimized Os structure.

Geometry as extended XYZ:
```
2
Lattice="1.359 -2.395 0.000 1.359 2.395 0.000 0.000 0.000 4.346" Properties=species:S:1:pos:R:3 pbc="T T T"
Os 1.359 1.599 3.260
Os 1.359 -1.599 1.087
```

Calculated density in kg/m3: 22324
Calculated formation energy in eV per formula unit: 0.01
SG: Cmcm, No. 63
Energy above the most stable polymorph in this dataset in eV per atom: 0.006